Record 1
# YMg2In | Alexandria via LeMat-Bulk | PBE | relaxed
# calculated formation energy	-0.108	eV/atom
data_YMg2In
_cell_length_a 6.443
_cell_length_b 9.480
_cell_length_c 3.416
_cell_angle_alpha 90.00
_cell_angle_beta 90.00
_cell_angle_gamma 90.00
_symmetry_space_group_name_H-M 'C m m m'
_symmetry_Int_Tables_number 65
_symmetry_space_group_name_Hall '-C 2 2'
loop_
_atom_site_label
_atom_site_type_symbol
_atom_site_fract_x
_atom_site_fract_y
_atom_site_fract_z
Y1 Y 0.000 0.000 0.000
Mg1 Mg 0.250 0.250 0.500
In1 In 0.000 0.500 0.000



Record 2
## NaNiHg2Te (PBE)

Data for NaNiHg2Te after structural relaxation.

Geometry as CIF:
```
data_NaNiHg2Te
_cell_length_a 5.058
_cell_length_b 5.058
_cell_length_c 5.260
_cell_angle_alpha 90.00
_cell_angle_beta 90.00
_cell_angle_gamma 90.00
_symmetry_space_group_name_H-M 'P 4/m m m'
_symmetry_Int_Tables_number 123
_symmetry_space_group_name_Hall '-P 4 2'
loop_
_atom_site_label
_atom_site_type_symbol
_atom_site_fract_x
_atom_site_fract_y
_atom_site_fract_z
Na1 Na 0.000 0.000 0.000
Ni1 Ni 0.500 0.500 0.500
Hg1 Hg 0.000 0.500 0.500
Te1 Te 0.500 0.500 0.000
```



no.,final energy (eV per atom),DOS(E_F) (states/eV/atom),M_tot (μB/f.u.)
1,-3.206,0.7519,0.00
2,-2.313,0.5699,0.00